Computed, not measured: crystalline MoAsF3 at its relaxed geometry at the PBE+U level of DFT.

Properties
DOS at the Fermi energy: 3.11 states/eV/cell
Calculated density: 4.4 g/cm³
Uncorrected energy: -4.295 eV per atom
SG: Pm-3m

abc: 4.400 4.400 4.400
angles: 90.00 90.00 90.00
Fractional positions:
Mo 0.000 0.000 0.000
As 0.500 0.500 0.500
F 0.000 0.500 0.500
F 0.500 0.000 0.500
F 0.500 0.500 0.000